Entry from Alexandria via LeMat-Bulk: Sm6InAg3 after structural relaxation (PBE).

* energy of formation: -0.21 eV/atom
* DFT total energy: -4.17 eV per atom

Lattice parameters (Å, degrees): 9.632 5.158 11.591 90.00 104.80 90.00
Space group P2_1/m (No. 11)
Unique sites:
Sm1 0.027 0.250 0.396 [2 per cell]
Sm2 0.144 0.750 0.192 [2 per cell]
Sm3 0.240 0.250 0.000 [2 per cell]
Sm4 0.339 0.750 0.821 [2 per cell]
Sm5 0.376 0.250 0.608 [2 per cell]
Sm6 0.380 0.250 0.325 [2 per cell]
In1 0.447 0.750 0.119 [2 per cell]
Ag1 0.033 0.750 0.885 [2 per cell]
Ag2 0.128 0.250 0.722 [2 per cell]
Ag3 0.274 0.750 0.468 [2 per cell]